DFT (PBE-GGA) results for crystalline Ho8Er5Zr at its relaxed geometry.

```
Ho8Er5Zr
1.0
-1.800 -4.868 -6.755
8.049 0.570 -3.906
-1.091 -2.555 8.053
Zr Ho Er
1 8 5
Direct
0.180 0.500 0.680
0.436 0.432 0.498
0.586 0.934 0.886
0.765 0.278 0.404
0.414 0.316 0.978
0.127 0.722 0.488
0.953 0.066 0.652
0.066 0.568 0.003
0.662 0.684 0.099
0.908 0.286 0.094
0.280 0.972 0.032
0.060 0.028 0.307
0.506 0.000 0.506
0.808 0.714 0.622
```

Properties
* SG: C2
* raw total energy: -4.65 eV per atom
* density: 8.5 g/cm³